The following is a DFT calculation (GGA-PBEsol) of a relaxed Tc2O7 crystal.

```
Tc2O7
1.0
5.513 0.000 0.000
0.000 14.021 0.000
0.000 0.000 7.331
Tc O
8 28
direct
0.198 0.105 0.020
0.198 0.395 0.520
0.302 0.605 0.020
0.302 0.895 0.520
0.698 0.105 0.480
0.698 0.395 0.980
0.802 0.605 0.480
0.802 0.895 0.980
0.000 0.000 0.000
0.000 0.500 0.500
0.061 0.206 0.958
0.061 0.294 0.458
0.066 0.587 0.879
0.066 0.913 0.379
0.190 0.617 0.233
0.190 0.883 0.733
0.310 0.117 0.233
0.310 0.383 0.733
0.434 0.087 0.879
0.434 0.413 0.379
0.439 0.706 0.958
0.439 0.794 0.458
0.500 0.000 0.500
0.500 0.500 0.000
0.561 0.206 0.542
0.561 0.294 0.042
0.566 0.587 0.621
0.566 0.913 0.121
0.690 0.617 0.267
0.690 0.883 0.767
0.810 0.117 0.267
0.810 0.383 0.767
0.934 0.087 0.621
0.934 0.413 0.121
0.939 0.706 0.542
0.939 0.794 0.042
```

ρ: 3.61 g/cm3
DOS at the Fermi energy: 0.0 states/eV/f.u.
volume: 15.7 Å³ per atom
final energy: -7.893 eV/atom
magnetic moment: 0.00 μB/f.u.